The following is a GGA-PBE calculation of a geometry-optimized SrCoTe2 structure, from the Alexandria database.

a b c (Å): 6.4667 6.4667 6.4667
angles (deg): 140.09 140.09 57.72
With the nearest neighbours (Å) after each atom.
Fractional positions:
1 Sr 0.7500 0.2500 0.5000  4 Te 3.12
2 Co 0.5000 0.5000 0.0000  4 Te 3.12
3 Te 0.2500 0.7500 0.5000  4 Sr 3.12
4 Te 0.0000 0.0000 0.0000  4 Co 3.12

Values from the calculation:
- M_tot (μB per cell) = 2.33
- formation energy from raw total energies (eV per atom) = -0.12
- density of states at the Fermi level (states/eV/f.u.) = 6.0